DFT (PBE-GGA) results for a relaxed structure of Zr2Te.

Output
As for the space-group type: No. 141. As for the crystal system: tetragonal. The final energy comes out at -6.941 eV per atom. The uncorrected formation energy is -0.195 eV per atom.

```
data_Zr2Te
_chemical_formula_sum 'Zr4 Te2'
_cell_length_a 12.5230
_cell_length_b 12.5230
_cell_length_c 12.5230
_cell_angle_alpha 164.11
_cell_angle_beta 164.11
_cell_angle_gamma 22.55
_space_group_name_H-M_alt 'P 1'
_space_group_IT_number 1
_space_group_name_Hall 'P 1'
loop_
_atom_site_label
_atom_site_type_symbol
_atom_site_fract_x
_atom_site_fract_y
_atom_site_fract_z
_atom_site_occupancy
Zr1 Zr 0.3026 0.5526 0.7500 1
Zr2 Zr 0.4474 0.6974 0.7500 1
Zr3 Zr 0.5526 0.3026 0.2500 1
Zr4 Zr 0.6974 0.4474 0.2500 1
Te1 Te 0.1250 0.8750 0.2500 1
Te2 Te 0.8750 0.1250 0.7500 1
```